(1)
# CsAgPdS3 (PBE, relaxed)
data_CsAgPdS3
_symmetry_space_group_name_H-M 'P 1'
_symmetry_Int_Tables_number 1
_cell_length_a 15.041
_cell_length_b 3.905
_cell_length_c 10.396
_cell_angle_alpha 90.00
_cell_angle_beta 90.00
_cell_angle_gamma 90.00
loop_
_symmetry_equiv_pos_as_xyz
'x,y,z'
loop_
_atom_site_label
_atom_site_type_symbol
_atom_site_fract_x
_atom_site_fract_y
_atom_site_fract_z
Cs1 Cs 0.230 0.250 0.052
Cs2 Cs 0.270 0.750 0.552
Cs3 Cs 0.730 0.250 0.448
Cs4 Cs 0.770 0.750 0.948
Ag1 Ag 0.013 0.750 0.091
Ag2 Ag 0.487 0.250 0.591
Ag3 Ag 0.513 0.750 0.409
Ag4 Ag 0.987 0.250 0.909
Pd1 Pd 0.009 0.250 0.354
Pd2 Pd 0.491 0.750 0.854
Pd3 Pd 0.509 0.250 0.146
Pd4 Pd 0.991 0.750 0.646
S1 S 0.073 0.250 0.565
S2 S 0.085 0.750 0.841
S3 S 0.105 0.750 0.294
S4 S 0.395 0.250 0.794
S5 S 0.415 0.250 0.341
S6 S 0.427 0.750 0.065
S7 S 0.573 0.250 0.935
S8 S 0.585 0.750 0.659
S9 S 0.605 0.750 0.206
S10 S 0.895 0.250 0.706
S11 S 0.915 0.250 0.159
S12 S 0.927 0.750 0.435
# **Final energy**: -93.418 eV/cell
# **Theoretical density**: 4.823 g/cm³
# **Space group**: Pnma, No. 62

---

(2)
# NaHfAgSe3 (PBE, relaxed)
data_NaHfAgSe3
_symmetry_space_group_name_H-M 'P 1'
_symmetry_Int_Tables_number 1
_cell_length_a 12.331
_cell_length_b 3.896
_cell_length_c 11.903
_cell_angle_alpha 90.00
_cell_angle_beta 90.00
_cell_angle_gamma 90.00
loop_
_symmetry_equiv_pos_as_xyz
'x,y,z'
loop_
_atom_site_label
_atom_site_type_symbol
_atom_site_fract_x
_atom_site_fract_y
_atom_site_fract_z
Na1 Na 0.146 0.250 0.008
Na2 Na 0.354 0.750 0.508
Na3 Na 0.646 0.250 0.492
Na4 Na 0.854 0.750 0.992
Hf1 Hf 0.054 0.250 0.333
Hf2 Hf 0.446 0.750 0.833
Hf3 Hf 0.554 0.250 0.167
Hf4 Hf 0.946 0.750 0.667
Ag1 Ag 0.246 0.250 0.705
Ag2 Ag 0.254 0.750 0.205
Ag3 Ag 0.746 0.250 0.795
Ag4 Ag 0.754 0.750 0.295
Se1 Se 0.041 0.750 0.169
Se2 Se 0.074 0.250 0.576
Se3 Se 0.244 0.750 0.861
Se4 Se 0.256 0.250 0.361
Se5 Se 0.426 0.750 0.076
Se6 Se 0.459 0.250 0.669
Se7 Se 0.541 0.750 0.331
Se8 Se 0.574 0.250 0.924
Se9 Se 0.744 0.750 0.639
Se10 Se 0.756 0.250 0.139
Se11 Se 0.926 0.750 0.424
Se12 Se 0.959 0.250 0.831
# **Final energy**: -120.119 eV/cell
# **Theoretical density**: 6.344 g/cm³
# **Space group**: Pnma, No. 62